(1)
K2BS2 after structural relaxation. Source: the Alexandria database, functional PBE-GGA.

Results
Total moment: 0.73 μB per formula unit
Crystal system: monoclinic
Space group: No. 12
Formation energy from raw total energies: -0.625 eV per atom

abc: 7.5139 7.5139 10.3045
angles: 125.19 125.19 47.39
Positions (direct):
K1 0.1174 0.1174 0.3841
K2 0.3177 0.3177 0.9141
K3 0.6823 0.6823 0.0859
K4 0.8826 0.8826 0.6159
B1 0.4684 0.4684 0.5890
B2 0.5316 0.5316 0.4110
S1 0.3733 0.3733 0.3563
S2 0.4196 0.4196 0.7157
S3 0.5804 0.5804 0.2843
S4 0.6267 0.6267 0.6437

---

(2)
K2BS after structural relaxation. Source: the Alexandria database, functional PBE-GGA.

Results
Total moment: 1.00 μB per formula unit
Crystal system: cubic
Space group: No. 225
Offset from the most stable computed form: 0.000 eV per atom
Formation energy from raw total energies: 0.550 eV per atom

abc: 5.3082 5.3082 5.3082
angles: 60.00 60.00 60.00
Positions (direct):
K1 0.2500 0.2500 0.2500
K2 0.7500 0.7500 0.7500
B1 0.0000 0.0000 0.0000
S1 0.5000 0.5000 0.5000

---

(3)
K3BS3 after structural relaxation. Source: the Alexandria database, functional PBE-GGA.

Results
Total moment: 0.00 μB per formula unit
Crystal system: trigonal
Space group: No. 160
Offset from the most stable computed form: 0.079 eV per atom
Formation energy from raw total energies: -0.971 eV per atom

abc: 7.0446 7.0446 7.0446
angles: 113.28 113.28 113.28
Positions (direct):
K1 0.1721 0.1721 0.6557
K2 0.1721 0.6557 0.1721
K3 0.6557 0.1721 0.1721
B1 0.8391 0.8391 0.8391
S1 0.0228 0.7511 0.7511
S2 0.7511 0.0228 0.7511
S3 0.7511 0.7511 0.0228

---

(4)
K2BS3 after structural relaxation. Source: the Alexandria database, functional PBE-GGA.

Results
Total moment: 0.95 μB per formula unit
Crystal system: trigonal
Space group: No. 164
Formation energy from raw total energies: -0.778 eV per atom

abc: 7.0942 7.0942 8.8737
angles: 90.00 90.00 120.00
Positions (direct):
K1 0.0000 0.0000 0.0000
K2 0.0000 0.0000 0.5000
K3 0.3333 0.6667 0.1596
K4 0.6667 0.3333 0.8404
B1 0.3333 0.6667 0.7627
B2 0.6667 0.3333 0.2373
S1 0.1872 0.3744 0.7661
S2 0.1872 0.8128 0.7661
S3 0.3744 0.1872 0.2339
S4 0.6256 0.8128 0.7661
S5 0.8128 0.1872 0.2339
S6 0.8128 0.6256 0.2339

---

| no. | density of states at the Fermi level (states/eV/f.u.) | volume (Å³ per atom) |
| --- | --- | --- |
| 1 | 0.99 | 33.28 |
| 2 | 2.94 | 26.44 |
| 3 | 0.00 | 31.90 |
| 4 | 1.36 | 32.23 |